(1)
! Dy3HgGe2 (GGA-PBE, relaxed); values from VASP
&SYSTEM
  ibrav = 0, nat = 12, ntyp = 3
/
ATOMIC_SPECIES
Dy 162.50 Dy.upf
Hg 200.59 Hg.upf
Ge 72.64 Ge.upf
CELL_PARAMETERS angstrom
7.7094 0.8714 0.6791
3.3167 7.0138 0.6791
3.3167 2.3719 6.6355
ATOMIC_POSITIONS crystal
Dy 0.4472 0.0528 0.7500
Dy 0.0528 0.7500 0.4472
Dy 0.7500 0.4472 0.0528
Dy 0.5528 0.9472 0.2500
Dy 0.9472 0.2500 0.5528
Dy 0.2500 0.5528 0.9472
Hg 0.5000 0.5000 0.5000
Hg 0.0000 0.0000 0.0000
Ge 0.3432 0.3432 0.3432
Ge 0.1568 0.1568 0.1568
Ge 0.8432 0.8432 0.8432
Ge 0.6568 0.6568 0.6568
! Formation energy from the elements: -0.5646 eV per atom

(2)
! SrFe2Ni (GGA-PBE, relaxed); values from VASP
&SYSTEM
  ibrav = 0, nat = 4, ntyp = 3
/
ATOMIC_SPECIES
Fe 55.84 Fe.upf
Ni 58.69 Ni.upf
Sr 87.62 Sr.upf
CELL_PARAMETERS angstrom
-4.4050 -3.1425 -1.7434
0.2228 -2.8832 -4.8945
1.9315 0.9920 5.2540
ATOMIC_POSITIONS crystal
Fe 0.9585 0.9585 0.0000
Fe 0.5415 0.5415 0.0000
Ni 0.7500 0.2500 0.5000
Sr 0.2500 0.7500 0.5000
! Formation energy from the elements: 0.6000 eV per atom

(3)
! BaLiMg2Cu (GGA-PBE, relaxed); values from VASP
&SYSTEM
  ibrav = 0, nat = 5, ntyp = 4
/
ATOMIC_SPECIES
Mg 24.30 Mg.upf
Ba 137.33 Ba.upf
Cu 63.55 Cu.upf
Li 6.94 Li.upf
CELL_PARAMETERS angstrom
5.0948 0.0000 0.0000
0.0000 5.0948 0.0000
0.0000 0.0000 5.2931
ATOMIC_POSITIONS crystal
Mg 0.0000 0.5000 0.0000
Mg 0.5000 0.0000 0.0000
Ba 0.5000 0.5000 0.5000
Cu 0.0000 0.0000 0.0000
Li 0.0000 0.0000 0.5000
! Formation energy from the elements: 0.0178 eV per atom

(4)
! InSI2N (GGA-PBE, relaxed); values from VASP
&SYSTEM
  ibrav = 0, nat = 5, ntyp = 4
/
ATOMIC_SPECIES
I 126.90 I.upf
S 32.06 S.upf
N 14.01 N.upf
In 114.82 In.upf
CELL_PARAMETERS angstrom
6.2953 0.0000 0.0000
0.0000 6.2953 0.0000
0.0000 0.0000 4.1389
ATOMIC_POSITIONS crystal
I 0.0000 0.5000 0.0000
I 0.5000 0.0000 0.0000
S 0.5000 0.5000 0.5000
N 0.0000 0.0000 0.5000
In 0.0000 0.0000 0.0000
! Energy above the most stable polymorph in this dataset: 597.9 meV/atom

(5)
! CoHgP2 (GGA-PBE, relaxed); values from VASP
&SYSTEM
  ibrav = 0, nat = 4, ntyp = 3
/
ATOMIC_SPECIES
Co 58.93 Co.upf
Hg 200.59 Hg.upf
P 30.97 P.upf
CELL_PARAMETERS angstrom
3.5711 0.0000 0.0000
0.0000 4.6367 0.3224
0.0000 2.9905 5.1746
ATOMIC_POSITIONS crystal
Co 0.5000 0.2500 0.2500
Hg 0.5000 0.7500 0.7500
P 0.0000 0.9960 0.2200
P 0.0000 0.5040 0.2800
! Formation energy from the elements: -0.0092 eV per atom

(6)
# Rb2ThPaN4

A geometry-optimized Rb2ThPaN4 structure (GGA-PBE, Alexandria). Values from VASP.

Quantum ESPRESSO input file:
```
&SYSTEM
  ibrav = 0, nat = 8, ntyp = 4
/
ATOMIC_SPECIES
Rb 85.47 Rb.upf
Th 232.04 Th.upf
Pa 231.04 Pa.upf
N 14.01 N.upf
CELL_PARAMETERS angstrom
-2.1309 -0.4465 3.0669
-3.7917 -3.7815 -3.1850
4.9261 -4.2072 2.8101
ATOMIC_POSITIONS crystal
Rb 0.5000 0.0000 0.5000
Rb 0.0000 0.5000 0.5000
Th 0.5000 0.5000 0.0000
Pa 0.0000 0.0000 0.0000
N 0.5000 0.2150 0.1610
N 0.5000 0.7850 0.8390
N 0.0000 0.2545 0.8411
N 0.0000 0.7455 0.1589
```

(7)
! AcPr2Dy5Tm (GGA-PBE, relaxed); values from VASP
&SYSTEM
  ibrav = 0, nat = 18, ntyp = 4
/
ATOMIC_SPECIES
Ac 227.00 Ac.upf
Pr 140.91 Pr.upf
Dy 162.50 Dy.upf
Tm 168.93 Tm.upf
CELL_PARAMETERS angstrom
-5.8561 4.4803 4.8916
-5.9021 -0.5412 -6.5702
3.1933 -8.7215 3.8081
ATOMIC_POSITIONS crystal
Ac 0.2500 0.2500 0.5000
Ac 0.7500 0.7500 0.5000
Pr 0.1176 0.3824 0.0000
Pr 0.6176 0.1176 0.0000
Pr 0.3824 0.8824 0.0000
Pr 0.8824 0.6176 0.0000
Dy 0.9273 0.4273 0.2692
Dy 0.6581 0.1581 0.7308
Dy 0.0727 0.5727 0.7308
Dy 0.1581 0.0727 0.7308
Dy 0.5727 0.6581 0.7308
Dy 0.8419 0.9273 0.2692
Dy 0.4273 0.3419 0.2692
Dy 0.3419 0.8419 0.2692
Dy 0.5000 0.5000 0.0000
Dy 0.0000 0.0000 0.0000
Tm 0.2500 0.7500 0.5000
Tm 0.7500 0.2500 0.5000
! Formation energy from the elements: 0.2629 eV per atom

(8)
! LaRe3Ge (GGA-PBE, relaxed); values from VASP
&SYSTEM
  ibrav = 0, nat = 5, ntyp = 3
/
ATOMIC_SPECIES
Re 186.21 Re.upf
Ge 72.64 Ge.upf
La 138.91 La.upf
CELL_PARAMETERS angstrom
4.8646 0.0000 0.0000
0.0000 4.8646 0.0000
0.0000 0.0000 4.8646
ATOMIC_POSITIONS crystal
Re 0.0000 0.5000 0.0000
Re 0.0000 0.0000 0.5000
Re 0.5000 0.0000 0.0000
Ge 0.5000 0.5000 0.5000
La 0.0000 0.0000 0.0000
! Energy above the most stable polymorph in this dataset: 1892.2 meV/atom
! Formation energy from the elements: 3.0524 eV per atom

no.,V (Å³ per atom),raw total energy (eV/atom)
1,26.56,-4.46
2,17.16,-5.50
3,27.48,-2.21
4,32.81,-2.54
5,20.56,-4.57
6,19.94,-7.43
7,34.14,-4.31
8,23.02,-6.33